Compound: AlRhI2N
Source: Alexandria
Functional: PBE
Structure: optimized geometry

The space group is P4/mmm (No. 123) and the conventional cell measures 5.660, 5.660 and 3.492 Å, with angles of 90.00, 90.00 and 90.00 degrees. The asymmetric unit holds Al at (0.000, 0.000, 0.000), Rh at (0.500, 0.500, 0.500), I at (0.000, 0.500, 0.000) and N at (0.000, 0.000, 0.500).

The value obtained for the electronic total energy is -19.49 eV/f.u. Its size of the total moment is 2.1 μB/cell. The theoretical density comes out at 5.902 g cm⁻³. For the density of states at the Fermi level, the calculation gives 1.15 states/eV/atom. As for the offset from the most stable computed form: 213 meV per atom. As for the formation energy without anion corrections: 605 meV/atom.



Compound: BiIrO
Source: Alexandria
Functional: PBE
Structure: optimized geometry

The space group is P2_1/c (No. 14) and the conventional cell measures 6.026, 6.019 and 6.072 Å, with angles of 90.00, 102.60 and 90.00 degrees. The asymmetric unit holds Bi at (0.166, 0.103, 0.346), Ir at (0.284, 0.515, 0.279) and O at (0.370, 0.594, 0.645).

The value obtained for the electronic total energy is -18.07 eV/f.u. Its size of the total moment is 0.0 μB/cell. The theoretical density comes out at 12.893 g cm⁻³. For the density of states at the Fermi level, the calculation gives 0.04 states/eV/atom. As for the formation energy without anion corrections: -124 meV/atom.



Compound: Pu2ZnCo5Si2
Source: Alexandria
Functional: PBE
Structure: optimized geometry

The space group is P4/mbm (No. 127) and the conventional cell measures 9.985, 9.985 and 2.825 Å, with angles of 90.00, 90.00 and 90.00 degrees. The asymmetric unit holds Pu at (0.176, 0.324, 0.000), Zn at (0.000, 0.000, 0.000), Co at (0.000, 0.500, 0.500), Co at (0.054, 0.796, 0.500) and Si at (0.128, 0.628, 0.000).

The value obtained for the electronic total energy is -78.16 eV/f.u. Its size of the total moment is 18.7 μB/cell. The theoretical density comes out at 10.664 g cm⁻³. For the density of states at the Fermi level, the calculation gives 1.92 states/eV/atom. As for the formation energy without anion corrections: -185 meV/atom.



Compound: Tc2SbCl
Source: Alexandria
Functional: PBE
Structure: optimized geometry

The space group is Cm (No. 8) and the conventional cell measures 9.926, 3.123 and 11.971 Å, with angles of 90.00, 111.68 and 90.00 degrees. The asymmetric unit holds Tc at (0.000, 0.000, 0.000), Tc at (0.003, 0.500, 0.166), Tc at (0.256, 0.000, 0.209), Tc at (0.476, 0.500, 0.381), Sb at (0.209, 0.500, 0.389), Sb at (0.232, 0.500, 0.012), Cl at (0.017, 0.500, 0.550) and Cl at (0.395, 0.500, 0.792).

The value obtained for the electronic total energy is -26.86 eV/f.u. Its size of the total moment is 0.0 μB/cell. The theoretical density comes out at 6.803 g cm⁻³. For the density of states at the Fermi level, the calculation gives 0.91 states/eV/atom. As for the offset from the most stable computed form: 50 meV per atom. As for the formation energy without anion corrections: -40 meV/atom.



Compound: Ba2TaTe
Source: Alexandria
Functional: PBE
Structure: optimized geometry

The space group is Cm (No. 8) and the conventional cell measures 12.820, 3.768 and 6.011 Å, with angles of 90.00, 108.65 and 90.00 degrees. The asymmetric unit holds Ba at (0.000, 0.000, 0.000), Ba at (0.192, 0.000, 0.632), Ta at (0.423, 0.000, 0.439) and Te at (0.265, 0.500, 0.183).

The value obtained for the electronic total energy is -18.39 eV/f.u. Its size of the total moment is 1.5 μB/cell. The theoretical density comes out at 7.041 g cm⁻³. For the density of states at the Fermi level, the calculation gives 1.21 states/eV/atom. As for the formation energy without anion corrections: 113 meV/atom.



Compound: CeAlZn3
Source: Alexandria
Functional: PBE
Structure: optimized geometry

The space group is P6_3/mmc (No. 194) and the conventional cell measures 6.3836, 6.3836 and 5.5130 Å, with angles of 90.00, 90.00 and 120.00 degrees. The asymmetric unit holds Ce at (0.3333, 0.6667, 0.2500), Al at (0.0000, 0.0000, 0.0000) and Zn at (0.1988, 0.3975, 0.7500).

For the formation energy, the calculation gives -0.1818 eV per atom. The value obtained for the electronic total energy is -14.41 eV/f.u. Its size of the total moment is 1.3 μB/cell. The theoretical density comes out at 6.202 g cm⁻³. For the density of states at the Fermi level, the calculation gives 1.20 states/eV/atom.



Repeat the third record exactly.
Compound: Pu2ZnCo5Si2
Source: Alexandria
Functional: PBE
Structure: optimized geometry

The space group is P4/mbm (No. 127) and the conventional cell measures 9.985, 9.985 and 2.825 Å, with angles of 90.00, 90.00 and 90.00 degrees. The asymmetric unit holds Pu at (0.176, 0.324, 0.000), Zn at (0.000, 0.000, 0.000), Co at (0.000, 0.500, 0.500), Co at (0.054, 0.796, 0.500) and Si at (0.128, 0.628, 0.000).

The value obtained for the electronic total energy is -78.16 eV/f.u. Its size of the total moment is 18.7 μB/cell. The theoretical density comes out at 10.664 g cm⁻³. For the density of states at the Fermi level, the calculation gives 1.92 states/eV/atom. As for the formation energy without anion corrections: -185 meV/atom.